This record from the Alexandria database describes a relaxed structure of TeAsRuI2. The functional is GGA-PBE.

Lattice parameters (Å, degrees): 5.553 5.553 5.616 90.00 90.00 90.00
Last column: magnetic moment on the atom in μB.
Fractional coordinates of all 5 atoms:
I  0.000  0.500  0.000  0.06
I  0.500  0.000  0.000  0.06
Ru  0.500  0.500  0.500  2.81
Te  0.000  0.000  0.500  0.11
As  0.000  0.000  0.000  0.01

Output
The space-group type is P4/mmm (123). The calculation puts the formation energy (no corrections) at 1134 meV per atom.

***

This record from the Alexandria database describes a relaxed structure of Te2AsRuI. The functional is GGA-PBE.

Lattice parameters (Å, degrees): 5.475 5.475 5.446 90.00 90.00 90.00
Last column: magnetic moment on the atom in μB.
Fractional coordinates of all 5 atoms:
Te  0.500  0.000  0.000  0.14
Te  0.000  0.500  0.000  0.14
Ru  0.500  0.500  0.500  2.82
As  0.000  0.000  0.000  0.01
I  0.000  0.000  0.500  0.11

Output
The space-group type is P4/mmm (123). The calculation puts the formation energy (no corrections) at 1213 meV per atom.

***

This record from the Alexandria database describes a relaxed structure of AsSI3. The functional is GGA-PBE.

Lattice parameters (Å, degrees): 5.568 5.568 5.568 90.00 90.00 90.00
Last column: magnetic moment on the atom in μB.
Fractional coordinates of all 5 atoms:
I  0.000  0.000  0.500  -0.01
I  0.000  0.500  0.000  0.01
I  0.500  0.000  0.000  0.03
S  0.000  0.000  0.000  -0.04
As  0.500  0.500  0.500  0.95

Output
The space-group type is Pm-3m (221). The calculation puts the formation energy (no corrections) at 699 meV per atom.

***

This record from the Alexandria database describes a relaxed structure of AsSI3. The functional is GGA-PBE.

Lattice parameters (Å, degrees): 6.775 6.419 12.528 90.00 90.00 56.22
Fractional coordinates of all 10 atoms:
I  0.043  0.748  0.811
I  0.518  0.218  0.311
I  0.043  0.748  0.294
I  0.518  0.218  0.794
I  0.554  0.602  0.052
I  0.007  0.364  0.552
As  0.077  0.866  0.052
As  0.483  0.099  0.552
S  0.516  0.752  0.552
S  0.044  0.214  0.052

Output
The space-group type is P2_1/m (11). The calculation puts the formation energy (no corrections) at 78 meV per atom.

***

Values for theoretical density, g/cm³, ordered as above
5.34 5.68 4.69 3.58
Values for ΔE to the lowest computed polymorph, meV per atom, ordered as above
451.7 547.9 621.5 0.0